Crystalline KReTeI2 at its relaxed geometry, computed with PBE.

Summary:
**Space group**: No. 123
**Density of states at the Fermi level**: 1.804 states/eV/atom
**ΔE to the lowest computed polymorph**: 1.462 eV/atom
**Total moment**: 3.17 μB/f.u.

a = 6.3538 Å, b = 6.3538 Å, c = 6.4371 Å
α = 90.00°, β = 90.00°, γ = 90.00°
Positions (direct):
K1 0.0000 0.0000 0.0000
Re1 0.0000 0.0000 0.5000
Te1 0.5000 0.5000 0.5000
I1 0.0000 0.5000 0.0000
I2 0.5000 0.0000 0.0000

Crystalline KReTeI2 at its relaxed geometry, computed with PBE.

Summary:
**Space group**: No. 123
**Density of states at the Fermi level**: 0.474 states/eV/atom
**ΔE to the lowest computed polymorph**: 0.000 eV/atom
**Total moment**: 0.84 μB/f.u.

a = 5.8621 Å, b = 5.8621 Å, c = 5.0873 Å
α = 90.00°, β = 90.00°, γ = 90.00°
Positions (direct):
K1 0.0000 0.0000 0.0000
Re1 0.5000 0.5000 0.5000
Te1 0.5000 0.5000 0.0000
I1 0.0000 0.5000 0.5000
I2 0.5000 0.0000 0.5000

Crystalline KTl2ReI at its relaxed geometry, computed with PBE.

Summary:
**Space group**: No. 123
**Density of states at the Fermi level**: 1.098 states/eV/atom
**Total moment**: 4.07 μB/f.u.

a = 6.4233 Å, b = 6.4233 Å, c = 6.2512 Å
α = 90.00°, β = 90.00°, γ = 90.00°
Positions (direct):
K1 0.0000 0.0000 0.0000
Tl1 0.0000 0.5000 0.5000
Tl2 0.5000 0.0000 0.5000
Re1 0.5000 0.5000 0.0000
I1 0.0000 0.0000 0.5000

Crystalline K2YReI at its relaxed geometry, computed with PBE.

Summary:
**Space group**: No. 123
**Density of states at the Fermi level**: 2.603 states/eV/atom
**Total moment**: 4.88 μB/f.u.

a = 7.3178 Å, b = 7.3178 Å, c = 5.7833 Å
α = 90.00°, β = 90.00°, γ = 90.00°
Positions (direct):
K1 0.0000 0.5000 0.0000
K2 0.5000 0.0000 0.0000
Y1 0.0000 0.0000 0.0000
Re1 0.5000 0.5000 0.5000
I1 0.0000 0.0000 0.5000

Taking the records one at a time from the top gives energy relative to the elements, uncorrected values of 1.49, 0.03, 1.29, 1.52 eV per atom.